(1)
DFT (PBE-GGA) results for NiSb2Os after structural relaxation.

The structure belongs to space group I-42d (No. 122); the cell edges are 5.855, 5.855 and 11.572 Å and the angles 90.00°, 90.00° and 90.00°. Symmetry generates all atoms from Ni at (0.000, 0.000, 0.000), Sb at (0.239, 0.250, 0.125) and Os at (0.000, 0.000, 0.500).

The calculation puts the uncorrected formation energy at 527 meV per atom. The raw total energy is -5.787 eV per atom.

=====

(2)
DFT (PBE-GGA) results for Mg2TcBr after structural relaxation.

The structure belongs to space group P4mm (No. 99); the cell edges are 3.551, 3.551 and 7.561 Å and the angles 90.00°, 90.00° and 90.00°. Symmetry generates all atoms from Mg at (0.000, 0.000, 0.000), Mg at (0.500, 0.500, 0.243), Tc at (0.000, 0.000, 0.359) and Br at (0.500, 0.500, 0.815).

The calculation puts the uncorrected formation energy at 306 meV per atom. The raw total energy is -3.501 eV per atom.